Here is crystalline CaCrCu2 at its relaxed geometry from Alexandria via LeMat-Bulk. Energies are from PBE.

The value obtained for the polymorph energy (0 for the lowest one) is 140 meV/atom. For the formation energy, the calculation gives 1.37 eV per formula unit. As for the calculated volume: 71.2 Å³/f.u. Its density of states at the Fermi level is 4.3 states/eV/cell. For the total energy, the calculation gives -4.61 eV per atom.

The space group is Imm2 (No. 44) and the conventional cell measures 3.342, 4.588 and 9.290 Å, with angles of 90.00, 90.00 and 90.00 degrees. The inequivalent atoms are Ca at (0.000, 0.000, 0.000), Cr at (0.000, 0.500, 0.787), Cu at (0.000, 0.000, 0.531) and Cu at (0.000, 0.500, 0.232).

---

Here is crystalline CaCrCu2 at its relaxed geometry from Alexandria via LeMat-Bulk. Energies are from PBE.

The value obtained for the polymorph energy (0 for the lowest one) is 111 meV/atom. For the formation energy, the calculation gives 1.26 eV per formula unit. As for the calculated volume: 69.5 Å³/f.u. Its density of states at the Fermi level is 4.7 states/eV/cell. For the total energy, the calculation gives -4.64 eV per atom.

The space group is C2/m (No. 12) and the conventional cell measures 6.373, 6.425 and 3.393 Å, with angles of 90.00, 90.12 and 90.00 degrees. The inequivalent atoms are Ca at (0.000, 0.000, 0.000), Cr at (0.000, 0.500, 0.000) and Cu at (0.250, 0.250, 0.500).

---

Here is crystalline CaCrCu2 at its relaxed geometry from Alexandria via LeMat-Bulk. Energies are from PBE.

The value obtained for the polymorph energy (0 for the lowest one) is 85 meV/atom. For the formation energy, the calculation gives 1.15 eV per formula unit. As for the calculated volume: 76.0 Å³/f.u. Its density of states at the Fermi level is 2.1 states/eV/cell. For the total energy, the calculation gives -4.67 eV per atom.

The space group is Pm (No. 6) and the conventional cell measures 3.620, 4.010 and 5.534 Å, with angles of 90.00, 108.96 and 90.00 degrees. The inequivalent atoms are Ca at (0.000, 0.000, 0.000), Cr at (0.710, 0.500, 0.418), Cu at (0.267, 0.000, 0.532) and Cu at (0.399, 0.500, 0.797).